No. 1
DFT (GGA-PBEsol) results for a relaxed La4AgCl crystal.

Values from the calculation:
- Total energy: -4.24 eV/atom
- Fermi-level density of states: 9.690 states/eV/cell
- E_form (uncorrected): 210 meV/atom
- Total magnetic moment: 0.00 μB per cell

Structure (POSCAR):
```
La4AgCl
1.0
6.2766 0.0000 0.0000
3.1383 5.4357 0.0000
3.1383 1.8119 5.1248
Ag Cl La
1 1 4
Cartesian
9.4149 5.4357 3.8436
0.0000 0.0000 0.0000
7.8425 2.7197 1.9231
6.2766 5.4319 1.9231
4.7107 2.7197 1.9231
6.2766 3.6238 4.4802
```

=====

No. 2
DFT (GGA-PBEsol) results for a relaxed Rb2LaAgCl6 crystal.

Values from the calculation:
- Total energy: -4.06 eV/atom
- Fermi-level density of states: 0.000 states/eV/cell
- E_form (uncorrected): -1786 meV/atom
- Total magnetic moment: 0.00 μB per cell

Structure (POSCAR):
```
Rb2LaAgCl6
1.0
7.6090 0.0000 0.0000
3.8045 6.5896 0.0000
3.8045 2.1965 6.2127
Cl Rb La Ag
6 2 1 1
Cartesian
5.7334 5.4759 1.5749
7.6090 2.2273 1.5749
7.6090 6.5588 4.6378
9.4846 5.4759 1.5749
5.7334 3.3102 4.6378
9.4846 3.3102 4.6378
11.4135 6.5896 4.6595
3.8045 2.1965 1.5532
0.0000 0.0000 0.0000
7.6090 4.3931 3.1064
```

=====

No. 3
DFT (GGA-PBEsol) results for a relaxed LaAgS2Cl crystal.

Values from the calculation:
- Total energy: -4.40 eV/atom
- Fermi-level density of states: 3.859 states/eV/cell
- E_form (uncorrected): -509 meV/atom
- Total magnetic moment: 0.33 μB per cell

Structure (POSCAR):
```
LaAgS2Cl
1.0
5.4010 0.0000 0.0000
0.0000 5.4010 0.0000
0.0000 0.0000 5.4261
La S Cl Ag
1 2 1 1
Cartesian
0.0000 0.0000 0.0000
2.7005 0.0000 0.0000
0.0000 2.7005 0.0000
0.0000 0.0000 2.7130
2.7005 2.7005 2.7130
```

=====

No. 4
DFT (GGA-PBEsol) results for a relaxed Li2AgCl crystal.

Values from the calculation:
- Total energy: -2.93 eV/atom
- Fermi-level density of states: 0.334 states/eV/cell
- E_form (uncorrected): -613 meV/atom
- Total magnetic moment: 0.00 μB per cell

Structure (POSCAR):
```
Li2AgCl
1.0
-3.0130 1.8162 0.4767
-0.9169 -0.6366 -3.3701
-0.8393 -5.6953 3.1741
Cl Li Ag
1 2 1
Cartesian
-1.8606 -2.8710 -0.8214
0.0000 0.0000 0.0000
-2.9086 -1.6446 1.1020
-1.9649 0.5898 -1.4467
```

=====

No. 5
DFT (GGA-PBEsol) results for a relaxed LiAgSnCl2 crystal.

Values from the calculation:
- Total energy: -3.12 eV/atom
- Fermi-level density of states: 0.284 states/eV/cell
- E_form (uncorrected): -414 meV/atom
- Total magnetic moment: 0.00 μB per cell

Structure (POSCAR):
```
LiAgSnCl2
1.0
-4.1390 2.1538 -2.3402
-3.3377 -2.8878 3.2456
0.0445 4.0700 3.6670
Sn Cl Li Ag
1 2 1 1
Cartesian
0.0000 0.0000 0.0000
-1.6689 -1.4439 1.6228
0.0223 2.0350 1.8335
-3.7161 1.6680 2.2862
-2.0695 1.0769 -1.1701
```

=====

No. 6
DFT (GGA-PBEsol) results for a relaxed MgAgCl2 crystal.

Values from the calculation:
- Total energy: -2.54 eV/atom
- Fermi-level density of states: 2.727 states/eV/cell
- Energy relative to the lowest polymorph listed for this composition: 0.5495 eV per atom
- E_form (uncorrected): -276 meV/atom
- Total magnetic moment: 0.00 μB per cell

Structure (POSCAR):
```
MgAgCl2
1.0
-4.1618 -0.8928 2.2796
-3.7223 -1.8934 -2.4236
-1.3628 -4.5550 0.8418
Cl Mg Ag
2 1 1
Cartesian
0.0000 0.0000 0.0000
-6.9351 -5.5059 0.5233
-2.3117 -1.8353 0.1744
-4.6234 -3.6706 0.3489
```